## one
DFT (GGA-PBE) results for an optimized crystal structure of Li2PmBi.

Cell: 7.1051 7.1051 7.1051 Å, 90.00 90.00 90.00°
Positions (direct):
Li (0.2500, 0.2500, 0.2500)
Li (0.2500, 0.2500, 0.7500)
Li (0.2500, 0.7500, 0.2500)
Li (0.2500, 0.7500, 0.7500)
Li (0.7500, 0.2500, 0.2500)
Li (0.7500, 0.2500, 0.7500)
Li (0.7500, 0.7500, 0.2500)
Li (0.7500, 0.7500, 0.7500)
Pm (0.0000, 0.0000, 0.0000)
Pm (0.0000, 0.5000, 0.5000)
Pm (0.5000, 0.0000, 0.5000)
Pm (0.5000, 0.5000, 0.0000)
Bi (0.0000, 0.0000, 0.5000)
Bi (0.0000, 0.5000, 0.0000)
Bi (0.5000, 0.0000, 0.0000)
Bi (0.5000, 0.5000, 0.5000)

Results
The calculation puts the density of states at the Fermi level at 3.53 states/eV/f.u. Its total magnetization is 0.0604 μB per atom. Its symmetry is Fm-3m.

---

## two
DFT (GGA-PBE) results for an optimized crystal structure of Li2PmBi.

Cell: 4.5484 4.5484 4.9512 Å, 90.00 90.00 90.00°
Positions (direct):
Li (0.0000, 0.5000, 0.0000)
Li (0.5000, 0.0000, 0.0000)
Pm (0.0000, 0.0000, 0.5000)
Bi (0.5000, 0.5000, 0.5000)

Results
The calculation puts the density of states at the Fermi level at 1.12 states/eV/f.u. Its total magnetization is 0.0000 μB per atom. Its symmetry is P4/mmm.

---

Q: What are the energies relative to the best structure? A: one 127; two 0, in meV per atom.